[1]
# BaRhNF2, relaxed, DFT GGA-PBE
data_BaRhNF2
_space_group_name_H-M_alt 'P 4/m m m'
_space_group_IT_number 123
_space_group_name_Hall '-P 4 2'
_cell_length_a 4.6468
_cell_length_b 4.6468
_cell_length_c 3.7644
_cell_angle_alpha 90.00
_cell_angle_beta 90.00
_cell_angle_gamma 90.00
loop_
_atom_site_label
_atom_site_fract_x
_atom_site_fract_y
_atom_site_fract_z
Ba1 0.0000 0.0000 0.0000
Rh1 0.5000 0.5000 0.5000
N1 0.5000 0.5000 0.0000
F1 0.0000 0.5000 0.5000
# Offset from the most stable computed form (meV/atom): 0
# Uncorrected formation energy (eV per atom): -1.47



[2]
# Cs3Li2TbBr9, relaxed, DFT GGA-PBE
data_Cs3Li2TbBr9
_space_group_name_H-M_alt 'P -3 m 1'
_space_group_IT_number 164
_space_group_name_Hall '-P 3 2"'
_cell_length_a 7.8382
_cell_length_b 7.8382
_cell_length_c 9.7758
_cell_angle_alpha 90.00
_cell_angle_beta 90.00
_cell_angle_gamma 120.00
loop_
_atom_site_label
_atom_site_fract_x
_atom_site_fract_y
_atom_site_fract_z
Cs1 0.0000 0.0000 0.0000
Cs2 0.3333 0.6667 0.6745
Li1 0.3333 0.6667 0.1457
Tb1 0.0000 0.0000 0.5000
Br1 0.0000 0.5000 0.0000
Br2 0.1683 0.3367 0.3332
# Uncorrected formation energy (eV per atom): -1.61



[3]
# Ba6Ir2I3F, relaxed, DFT GGA-PBE
data_Ba6Ir2I3F
_space_group_name_H-M_alt 'C 1 2/m 1'
_space_group_IT_number 12
_cell_length_a 7.8527
_cell_length_b 13.5687
_cell_length_c 8.9519
_cell_angle_alpha 90.00
_cell_angle_beta 107.06
_cell_angle_gamma 90.00
loop_
_space_group_symop_operation_xyz
'x,y,z'
'-x,-y,-z'
'-x,y,-z'
'x,-y,z'
'x+1/2,y+1/2,z'
'-x+1/2,-y+1/2,-z'
'-x+1/2,y+1/2,-z'
'x+1/2,-y+1/2,z'
loop_
_atom_site_label
_atom_site_fract_x
_atom_site_fract_y
_atom_site_fract_z
Ba1 0.2287 0.0000 0.1957
Ba2 0.2318 0.3327 0.1940
Ir1 0.0000 0.1666 0.0000
I1 0.0000 0.0000 0.5000
I2 0.0000 0.3317 0.5000
F1 0.0000 0.5000 0.0000
# Uncorrected formation energy (eV per atom): -1.20



[4]
# PmMgNiHg, relaxed, DFT GGA-PBE
data_PmMgNiHg
_space_group_name_H-M_alt 'F -4 3 m'
_space_group_IT_number 216
_space_group_name_Hall 'F -4 2 3'
_cell_length_a 6.9861
_cell_length_b 6.9861
_cell_length_c 6.9861
_cell_angle_alpha 90.00
_cell_angle_beta 90.00
_cell_angle_gamma 90.00
loop_
_atom_site_label
_atom_site_fract_x
_atom_site_fract_y
_atom_site_fract_z
Pm1 0.0000 0.0000 0.0000
Mg1 0.0000 0.0000 0.5000
Ni1 0.2500 0.2500 0.7500
Hg1 0.2500 0.2500 0.2500
# Formation enthalpy at 0 K (eV/atom): -0.2470